This record from Alexandria via LeMat-Bulk describes crystalline Be2GaWS at its relaxed geometry. The functional is PBE.

## Properties
Uncorrected formation energy (eV/atom): 1.52
Mass density (g/cm³): 5.10

a b c (Å): 4.4674 4.4674 4.9546
angles (deg): 90.00 90.00 90.00
Sites, in units of the cell vectors:
Be: 0.0000 0.5000 0.0000
Be: 0.5000 0.0000 0.0000
Ga: 0.0000 0.0000 0.5000
W: 0.0000 0.0000 0.0000
S: 0.5000 0.5000 0.5000